1.
Dy2YHo | Alexandria | PBE | optimized geometry; magnetization = 0.0 μB/f.u.; total energy = -5.0562 eV per atom; DOS at the Fermi energy = 1.7710 states/eV per atom; E_form = 0.01 eV per atom; space-group type = No. 8
1.0
-1.015 -6.432 1.561
2.927 -1.028 1.877
-3.575 2.219 10.289
Dy Y Ho
4 2 2
direct
0.846 0.608 0.713
0.806 0.858 0.252
0.056 0.357 0.004
0.095 0.110 0.462
0.305 0.857 0.755
0.555 0.358 0.503
0.598 0.108 0.963
0.347 0.609 0.211

2.
Dy3MgRh | Alexandria | PBE | optimized geometry; magnetization = 0.0 μB/f.u.; total energy = -4.7961 eV per atom; DOS at the Fermi energy = 0.9608 states/eV per atom; E_form = -0.25 eV per atom; space-group type = No. 221
1.0
-1.544 -0.667 5.094
1.500 -5.146 -0.219
4.913 1.362 1.667
Dy Mg Rh
3 1 1
direct
0.500 0.000 0.000
0.000 0.500 0.000
0.000 0.000 0.500
0.500 0.500 0.500
0.000 0.000 0.000

3.
La7AlI12 | Alexandria | PBE | optimized geometry; magnetization = 0.2 μB/f.u.; total energy = -4.1546 eV per atom; DOS at the Fermi energy = 0.6863 states/eV per atom; space-group type = No. 148
1.0
-9.257 2.135 3.714
4.557 -6.470 6.436
5.411 8.646 -0.128
La I Al
7 12 1
direct
0.962 0.675 0.890
0.038 0.325 0.110
0.500 0.500 0.500
0.675 0.890 0.962
0.890 0.962 0.675
0.325 0.110 0.038
0.110 0.038 0.325
0.769 0.923 0.311
0.689 0.231 0.077
0.923 0.311 0.769
0.842 0.606 0.525
0.311 0.769 0.923
0.525 0.842 0.606
0.158 0.394 0.475
0.394 0.475 0.158
0.077 0.689 0.231
0.475 0.158 0.394
0.606 0.525 0.842
0.231 0.077 0.689
0.000 0.000 0.000

4.
Hf5ScAs4 | Alexandria | PBE | optimized geometry; magnetization = 0.0 μB/f.u.; total energy = -8.1463 eV per atom; DOS at the Fermi energy = 0.4316 states/eV per atom; E_form = -0.68 eV per atom; space-group type = No. 12
1.0
-3.642 -0.560 0.175
0.866 -3.556 6.638
0.699 8.063 1.464
Sc As Hf
1 4 5
direct
0.500 0.000 0.000
0.018 0.263 0.037
0.982 0.737 0.963
0.670 0.079 0.340
0.330 0.921 0.660
0.844 0.184 0.687
0.500 0.500 0.000
0.807 0.655 0.615
0.193 0.345 0.385
0.156 0.816 0.313